VHO2F | the Alexandria database | PBE with a Hubbard U | relaxed; DFT total energy = -5.529 eV per atom
1.0
3.689 0.000 0.000
0.000 3.689 0.000
0.000 0.000 3.940
V H O F
1 1 2 1
Cartesian
0.000 0.000 0.000
1.845 1.845 1.970
0.000 1.845 0.000
1.845 0.000 0.000
0.000 0.000 1.970